(1)
Entry from Alexandria: a geometry-optimized InAuS2 structure (GGA-PBE).

The space group is C2/c (No. 15) and the conventional cell measures 9.129, 8.000 and 5.846 Å, with angles of 90.00, 93.98 and 90.00 degrees. The inequivalent atoms are In at (0.000, 0.090, 0.250), Au at (0.000, 0.341, 0.750) and S at (0.176, 0.342, 0.058).

For the formation energy from raw total energies, the calculation gives -78 meV/atom. The calculation puts the magnetization at 0.0 μB/cell.

=====

(2)
Entry from Alexandria: a geometry-optimized PmIn2Au2 structure (GGA-PBE).

The space group is P2_1/m (No. 11) and the conventional cell measures 4.985, 4.952 and 10.033 Å, with angles of 90.00, 90.02 and 90.00 degrees. The inequivalent atoms are Pm at (0.250, 0.250, 0.180), In at (0.249, 0.250, 0.515), In at (0.250, 0.250, 0.831), Au at (0.250, 0.750, 0.985) and Au at (0.251, 0.750, 0.352).

The energy of formation from the pure elements comes out at -533 meV/atom. The energy above the lowest structure with this stoichiometry is 0.0 meV/atom. The calculation puts the magnetization at 0.0 μB/cell.

=====

(3)
Entry from Alexandria: a geometry-optimized TbPm4Dy7 structure (GGA-PBE).

The space group is C2/m (No. 12) and the conventional cell measures 12.097, 5.921 and 12.795 Å, with angles of 90.00, 118.20 and 90.00 degrees. The inequivalent atoms are Tb at (0.000, 0.000, 0.000), Pm at (0.058, 0.500, 0.330), Pm at (0.138, 0.000, 0.777), Dy at (0.000, 0.500, 0.000), Dy at (0.135, 0.000, 0.504), Dy at (0.212, 0.500, 0.923) and Dy at (0.247, 0.000, 0.315).

The energy of formation from the pure elements comes out at 268 meV/atom. The energy above the lowest structure with this stoichiometry is 181.5 meV/atom. The calculation puts the magnetization at 0.0 μB/cell.

=====

(4)
Entry from Alexandria: a geometry-optimized CaTeHF structure (GGA-PBE).

The space group is P1 (No. 1) and the conventional cell measures 4.349, 4.687 and 4.697 Å, with angles of 89.99, 89.58 and 87.73 degrees. The inequivalent atoms are Ca at (0.000, 0.000, 0.000), Te at (0.985, 0.499, 0.500), H at (0.599, 0.544, 0.508) and F at (0.499, 0.004, 0.001).

The energy above the lowest structure with this stoichiometry is 0.0 meV/atom. The calculation puts the magnetization at 0.0 μB/cell.

=====

Number 1: density of states at the Fermi level 0.000 states/eV/f.u.. Number 2: density of states at the Fermi level 1.184 states/eV/f.u.. Number 3: density of states at the Fermi level 20.012 states/eV/f.u.. Number 4: density of states at the Fermi level 0.000 states/eV/f.u..